# 1
Crystalline Tl2AgSbTe4 at its relaxed geometry. Source: Alexandria, functional PBE.

Cell and atoms, written as POSCAR:
```
Tl2AgSbTe4
1.0
7.075 0.000 0.000
3.537 6.116 0.000
3.537 0.000 6.116
Sb Tl Te Ag
1 2 4 1
direct
0.000 0.000 0.000
0.000 0.500 0.500
0.500 0.500 0.500
0.423 0.636 0.000
0.059 0.364 0.000
0.941 0.000 0.636
0.577 0.000 0.364
0.500 0.000 0.000
```

Values from the calculation:
Uncorrected formation energy, eV per formula unit: -0.9

# 2
Crystalline Na4Cd5As6 at its relaxed geometry. Source: Alexandria, functional PBE.

Cell and atoms, written as POSCAR:
```
Na4Cd5As6
1.0
4.421 0.000 0.000
-2.210 10.247 0.000
0.000 0.000 16.386
As Cd Na
12 10 8
direct
0.875 0.751 0.617
0.442 0.883 0.400
0.562 0.125 0.627
0.778 0.555 0.268
0.448 0.896 0.852
0.222 0.445 0.768
0.783 0.565 0.983
0.125 0.249 0.117
0.558 0.117 0.900
0.217 0.435 0.483
0.438 0.875 0.127
0.552 0.104 0.352
0.857 0.713 0.126
0.436 0.873 0.681
0.143 0.287 0.626
0.354 0.709 0.271
0.291 0.583 0.624
0.709 0.417 0.124
0.564 0.127 0.181
0.646 0.291 0.771
0.641 0.282 0.479
0.359 0.718 0.979
0.175 0.350 0.300
0.003 0.005 0.012
0.179 0.358 0.946
0.825 0.650 0.800
0.029 0.057 0.769
0.971 0.943 0.269
0.821 0.642 0.446
0.997 0.995 0.512
```

Values from the calculation:
E_form, kJ/mol of formula units: -376

# 3
Crystalline SiSbI3 at its relaxed geometry. Source: Alexandria, functional PBE.

Cell and atoms, written as POSCAR:
```
SiSbI3
1.0
5.657 0.000 0.000
0.000 5.657 0.000
0.000 0.000 5.657
I Sb Si
3 1 1
direct
0.000 0.500 0.000
0.000 0.000 0.500
0.500 0.000 0.000
0.500 0.500 0.500
0.000 0.000 0.000
```

Values from the calculation:
ΔE to the lowest computed polymorph, kJ/mol of atoms: 0.0
Uncorrected formation energy, eV per formula unit: 2.0

# 4
Crystalline ZrZnHgRu2 at its relaxed geometry. Source: Alexandria, functional PBE.

Cell and atoms, written as POSCAR:
```
ZrZnHgRu2
1.0
-1.016 -2.708 -3.829
1.117 -4.247 2.708
-4.573 -0.296 1.422
Ru Zr Hg Zn
2 1 1 1
direct
0.500 0.000 0.000
0.000 0.000 0.500
0.000 0.000 0.000
0.500 0.500 0.500
0.000 0.500 0.000
```

Values from the calculation:
E_form, kJ/mol of formula units: 611

# 5
Crystalline TcNi2HOs at its relaxed geometry. Source: Alexandria, functional PBE.

Cell and atoms, written as POSCAR:
```
TcNi2HOs
1.0
3.697 0.000 0.000
0.000 3.697 0.000
0.000 0.000 3.872
Ni Tc H Os
2 1 1 1
direct
0.000 0.500 0.000
0.500 0.000 0.000
0.000 0.000 0.500
0.000 0.000 0.000
0.500 0.500 0.500
```

Values from the calculation:
ΔE to the lowest computed polymorph, kJ/mol of atoms: 0.0

# 6
Crystalline NpHF4 at its relaxed geometry. Source: Alexandria, functional PBE.

Cell and atoms, written as POSCAR:
```
NpHF4
1.0
-4.439 -3.726 -2.177
5.511 -0.801 -2.707
0.701 -1.296 6.014
F H Np
8 2 2
direct
0.231 0.576 0.655
0.692 0.383 0.691
0.326 0.481 0.155
0.326 0.171 0.845
0.750 0.942 0.809
0.133 0.942 0.191
0.692 0.000 0.309
0.921 0.576 0.345
0.290 0.290 0.000
0.040 0.540 0.500
0.675 0.675 0.000
0.425 0.925 0.500
```

Values from the calculation:
Raw total energy, eV/atom: -6.68

# 7
Crystalline LiAc12Sn6 at its relaxed geometry. Source: Alexandria, functional PBE.

Cell and atoms, written as POSCAR:
```
LiAc12Sn6
1.0
9.537 -0.143 -0.172
-1.588 9.405 -0.172
-1.588 -1.850 9.223
Sn Ac Li
6 12 1
direct
0.126 0.634 0.314
0.366 0.686 0.874
0.686 0.874 0.366
0.314 0.126 0.634
0.874 0.366 0.686
0.634 0.314 0.126
0.559 0.188 0.419
0.032 0.674 0.943
0.188 0.419 0.559
0.326 0.057 0.968
0.419 0.559 0.188
0.812 0.581 0.441
0.943 0.032 0.674
0.968 0.326 0.057
0.674 0.943 0.032
0.581 0.441 0.812
0.057 0.968 0.326
0.441 0.812 0.581
0.000 0.000 0.000
```

Values from the calculation:
E_form, kJ/mol of formula units: -497

# 8
Crystalline Pa2TaVN5 at its relaxed geometry. Source: Alexandria, functional PBE.

Cell and atoms, written as POSCAR:
```
Pa2TaVN5
1.0
-2.183 0.301 -2.424
-3.780 -0.708 5.529
-0.024 10.035 1.269
N Pa V Ta
10 4 2 2
direct
0.051 0.102 0.066
0.719 0.438 0.157
0.487 0.974 0.780
0.370 0.740 0.001
0.321 0.642 0.369
0.281 0.562 0.657
0.513 0.026 0.280
0.679 0.358 0.869
0.949 0.898 0.566
0.630 0.260 0.501
0.894 0.788 0.181
0.855 0.710 0.802
0.106 0.212 0.681
0.145 0.290 0.302
0.470 0.940 0.463
0.530 0.060 0.963
0.204 0.408 0.005
0.796 0.592 0.505
```

Values from the calculation:
Uncorrected formation energy, eV per formula unit: -12.5

Record-wise M_tot values, in μB/atom: 0.00, 0.00, 0.41, 0.21, 0.00, 0.67, 0.02, 0.00